No. 1
Below is an optimized crystal structure of NpVIr2, with properties calculated at the PBE level.

Geometry as extended XYZ:
```
4
Lattice="2.9025 0.0000 0.0000 0.0000 2.9025 0.0000 0.0000 0.0000 7.7395" Properties=species:S:1:pos:R:3 pbc="T T T"
Np 0.0000 0.0000 0.0000
V 0.0000 0.0000 3.8697
Ir 1.4513 1.4513 2.2483
Ir 1.4513 1.4513 5.4912
```

Calculated values
The calculated volume is 65.2 Å³/cell. Its total energy is -10.2853 eV per atom. The value obtained for the total magnetization is 2.87 μB per formula unit. The calculation puts the energy relative to the lowest polymorph listed for this composition at 0 meV per atom.

=====

No. 2
Below is an optimized crystal structure of Pm3Pr7Nd2, with properties calculated at the PBE level.

Geometry as extended XYZ:
```
12
Lattice="6.5965 0.0000 0.0000 0.0000 3.6263 0.0000 -1.8901 0.0000 17.9606" Properties=species:S:1:pos:R:3 pbc="T T T"
Pm 0.0000 0.0000 0.0000
Pm -0.9447 1.8132 11.8691
Pm 5.6511 1.8132 6.0915
Pr 1.1736 1.8132 2.9854
Pr 0.6531 0.0000 9.0299
Pr 0.2348 0.0000 14.9285
Pr 3.2983 1.8132 0.0000
Pr 4.4717 0.0000 3.0321
Pr 4.0534 0.0000 8.9307
Pr 3.5329 1.8132 14.9752
Nd 2.3032 0.0000 5.9306
Nd 2.4033 0.0000 12.0300
```

Calculated values
The calculated volume is 429.6 Å³/cell. Its total energy is -4.7047 eV per atom. The value obtained for the total magnetization is 0.00 μB per formula unit. The calculation puts the energy relative to the lowest polymorph listed for this composition at 0 meV per atom.

=====

No. 3
Below is an optimized crystal structure of Y7Cd, with properties calculated at the PBE level.

Geometry as extended XYZ:
```
8
Lattice="0.0000 4.9799 4.9799 4.9799 0.0000 4.9799 4.9799 4.9799 0.0000" Properties=species:S:1:pos:R:3 pbc="T T T"
Y 0.0000 0.0000 0.0000
Y 2.4900 2.4900 0.0000
Y 2.4900 0.0000 2.4900
Y 4.9799 2.4900 2.4900
Y 0.0000 2.4900 2.4900
Y 2.4900 4.9799 2.4900
Y 2.4900 2.4900 4.9799
Cd 4.9799 4.9799 4.9799
```

Calculated values
The calculated volume is 247.0 Å³/cell. Its total energy is -5.7839 eV per atom. The value obtained for the total magnetization is 0.00 μB per formula unit.

=====

No. 4
Below is an optimized crystal structure of BaAlCd2, with properties calculated at the PBE level.

Geometry as extended XYZ:
```
4
Lattice="3.5819 0.0000 0.0000 0.0000 4.6821 0.0000 -1.7834 0.0000 6.8941" Properties=species:S:1:pos:R:3 pbc="T T T"
Ba 0.0000 0.0000 0.0000
Al 0.0039 2.3410 5.0161
Cd -0.0067 0.0000 3.5719
Cd 1.7954 2.3410 2.4302
```

Calculated values
The calculated volume is 115.6 Å³/cell. Its total energy is -1.9461 eV per atom. The value obtained for the total magnetization is 0.00 μB per formula unit.

=====

No. 5
Below is an optimized crystal structure of Tb7Sm12Tm, with properties calculated at the PBE level.

Geometry as extended XYZ:
```
20
Lattice="6.4476 3.7225 4.6739 -6.4476 3.7225 4.6739 0.0000 -7.4450 4.6739" Properties=species:S:1:pos:R:3 pbc="T T T"
Tb 0.0000 0.0000 0.0000
Tb -2.1196 -0.7495 4.8793
Tb 1.7089 -1.4609 4.8793
Tb 0.4107 2.2104 4.8793
Tb -0.4107 -2.2104 9.1425
Tb -1.7089 1.4609 9.1425
Tb 2.1196 0.7495 9.1425
Sm -2.1420 0.7465 2.1448
Sm 0.4245 -2.2283 2.1448
Sm -0.8554 -3.7026 5.8573
Sm -3.6343 -1.1105 8.1645
Sm -2.7789 2.5921 5.8573
Sm 1.7176 1.4818 2.1448
Sm -1.7175 -1.4818 11.8770
Sm 2.7789 -2.5921 8.1645
Sm 3.6343 1.1105 5.8573
Sm 0.8554 3.7026 8.1645
Sm -0.4245 2.2283 11.8770
Sm 2.1420 -0.7466 11.8770
Tm 0.0000 0.0000 7.0109
```

Calculated values
The calculated volume is 673.1 Å³/cell. Its total energy is -4.4023 eV per atom. The value obtained for the total magnetization is 0.00 μB per formula unit. The calculation puts the energy relative to the lowest polymorph listed for this composition at 29 meV per atom.

=====

No. 6
Below is an optimized crystal structure of Ho4ErTm15, with properties calculated at the PBE level.

Geometry as extended XYZ:
```
20
Lattice="4.9319 0.0000 0.0000 0.0000 4.9319 0.0000 0.0000 0.0000 24.6694" Properties=species:S:1:pos:R:3 pbc="T T T"
Ho 0.0000 0.0000 2.4664
Ho 0.0000 0.0000 7.3996
Ho 0.0000 0.0000 17.2698
Ho 0.0000 0.0000 22.2030
Er 0.0000 0.0000 12.3347
Tm 0.0000 2.4660 0.0000
Tm 0.0000 2.4660 4.9326
Tm 0.0000 2.4660 9.8705
Tm 0.0000 2.4660 14.7990
Tm 0.0000 2.4660 19.7369
Tm 2.4660 0.0000 0.0000
Tm 2.4660 0.0000 4.9326
Tm 2.4660 0.0000 9.8705
Tm 2.4660 0.0000 14.7990
Tm 2.4660 0.0000 19.7369
Tm 2.4660 2.4660 2.4660
Tm 2.4660 2.4660 7.4013
Tm 2.4660 2.4660 12.3347
Tm 2.4660 2.4660 17.2681
Tm 2.4660 2.4660 22.2035
```

Calculated values
The calculated volume is 600.1 Å³/cell. Its total energy is -4.4714 eV per atom. The value obtained for the total magnetization is 0.00 μB per formula unit.